1.
Density functional theory data (PBE) for Ti3InCu after structural relaxation.

Cell and atoms, written as extended XYZ:
```
5
Lattice="-0.7851 -0.2242 -4.9839 4.3718 -2.4616 -0.5779 -2.4036 -4.4041 0.5768" Properties=species:S:1:pos:R:3 pbc="T T T"
Ti -0.3925 -0.1121 -2.4920
Ti 2.1859 -1.2308 -0.2889
Ti -1.2018 -2.2021 0.2884
In 0.0000 0.0000 0.0000
Cu 0.5916 -3.5450 -2.4925
```



2.
Density functional theory data (PBE) for Ti6In2Cu after structural relaxation.

Cell and atoms, written as extended XYZ:
```
9
Lattice="2.6659 0.0000 0.9246 0.0000 8.0747 0.0000 0.3736 -4.0373 7.5333" Properties=species:S:1:pos:R:3 pbc="T T T"
Ti 1.3329 2.6173 0.4623
Ti 0.5888 -1.3089 2.6047
Ti 1.3329 5.4573 0.4623
Ti 2.4507 5.3463 5.8532
Ti 0.5888 1.3090 2.6047
Ti 2.4507 2.7284 5.8532
In 1.1381 0.0000 5.3299
In 1.9014 4.0373 3.1280
Cu 0.0000 0.0000 0.0000
```



3.
Density functional theory data (PBE) for TiInCu2 after structural relaxation.

Cell and atoms, written as extended XYZ:
```
4
Lattice="3.6859 0.0000 0.0000 0.0000 4.1369 0.0000 0.0000 0.0000 4.1369" Properties=species:S:1:pos:R:3 pbc="T T T"
Cu 0.0000 0.0000 2.0684
Cu 0.0000 2.0684 0.0000
In 1.8429 2.0684 2.0684
Ti 1.8429 0.0000 0.0000
```



4.
Density functional theory data (PBE) for TiIn2Cu2 after structural relaxation.

Cell and atoms, written as extended XYZ:
```
10
Lattice="7.4614 0.0000 0.0000 0.0000 7.4614 0.0000 0.0000 0.0000 3.1233" Properties=species:S:1:pos:R:3 pbc="T T T"
Ti 0.0000 0.0000 0.0000
Ti 3.7307 3.7307 0.0000
In 6.1126 2.3819 1.5616
In 2.3819 1.3488 1.5616
In 5.0795 6.1126 1.5616
In 1.3488 5.0795 1.5616
Cu 4.6100 0.8793 0.0000
Cu 0.8793 2.8515 0.0000
Cu 6.5822 4.6100 0.0000
Cu 2.8515 6.5822 0.0000
```



5.
Density functional theory data (PBE) for Ti3InCu after structural relaxation.

Cell and atoms, written as extended XYZ:
```
10
Lattice="-2.3219 -0.2552 3.1754 -1.0315 -3.7679 -3.5039 5.2518 -6.9124 3.2847" Properties=species:S:1:pos:R:3 pbc="T T T"
Ti -0.4030 -5.9505 1.6740
Ti 0.4999 -1.1882 0.2700
Ti 1.3986 -9.7474 2.6862
Ti 2.3014 -4.9850 1.2822
Ti -0.2020 -3.9656 -0.4664
Ti 2.1005 -6.9700 3.4226
In 0.2795 -3.1592 2.3973
In 1.6190 -7.7763 0.5589
Cu -1.8050 -2.4838 0.9274
Cu 3.7035 -8.4517 2.0288
```



6.
Density functional theory data (PBE) for Ti2In2Cu3 after structural relaxation.

Cell and atoms, written as extended XYZ:
```
7
Lattice="0.8113 0.6179 -4.2450 -2.5178 -3.2837 1.2337 -5.5991 5.0696 2.0792" Properties=species:S:1:pos:R:3 pbc="T T T"
In -2.2590 1.6842 -0.1182
In -5.0467 0.7196 -0.8139
Cu -4.5763 3.3981 -0.2833
Cu 0.0000 0.0000 0.0000
Cu -2.7294 -0.9944 -0.6488
Ti -1.0786 -0.0992 -2.4538
Ti -6.2270 2.5030 1.5217
```



7.
Density functional theory data (PBE) for TiIn2Cu after structural relaxation.

Cell and atoms, written as extended XYZ:
```
4
Lattice="-0.0133 2.5145 -1.8486 -1.7066 -1.5536 -2.1010 -6.2896 2.4115 3.3255" Properties=species:S:1:pos:R:3 pbc="T T T"
In -4.8247 1.8499 2.5510
In -1.4649 0.5617 0.7745
Ti -4.0047 1.6862 -0.3120
Cu -0.8599 0.4804 -1.9748
```



8.
Density functional theory data (PBE) for TiInCu2 after structural relaxation.

Cell and atoms, written as extended XYZ:
```
4
Lattice="3.1999 0.0000 0.0000 0.0000 3.1999 0.0000 0.0000 0.0000 6.1957" Properties=species:S:1:pos:R:3 pbc="T T T"
Cu 0.0000 0.0000 1.7123
Cu 0.0000 0.0000 4.4834
In 1.5999 1.5999 0.0000
Ti 1.5999 1.5999 3.0978
```



Number 1: DOS at the Fermi energy 4.0 states/eV/cell, E_form 1419 meV per atom. Number 2: DOS at the Fermi energy 7.2 states/eV/cell, E_form 96 meV per atom. Number 3: DOS at the Fermi energy 4.7 states/eV/cell, E_form 6 meV per atom. Number 4: DOS at the Fermi energy 7.2 states/eV/cell, E_form 67 meV per atom. Number 5: DOS at the Fermi energy 11.8 states/eV/cell, E_form 17 meV per atom. Number 6: DOS at the Fermi energy 5.9 states/eV/cell, E_form 16 meV per atom. Number 7: DOS at the Fermi energy 3.0 states/eV/cell, E_form -11 meV per atom. Number 8: DOS at the Fermi energy 2.0 states/eV/cell, E_form -16 meV per atom.